1.
Entry from the Alexandria database: an optimized crystal structure of AlRhSe2N (GGA-PBE).

Its density of states at the Fermi level is 5.3 states/eV per cell. The value obtained for the energy above the lowest structure with this stoichiometry is 149 meV per atom. The raw total energy is -0.350 Ry per atom.

Geometry as CIF:
```
data_AlRhSe2N
_chemical_formula_sum 'Al1 Rh1 Se2 N1'
_space_group_name_H-M_alt 'P 4/m m m'
_space_group_IT_number 123
_space_group_name_Hall '-P 4 2'
_cell_length_a 4.9821
_cell_length_b 4.9821
_cell_length_c 3.4579
_cell_angle_alpha 90.00
_cell_angle_beta 90.00
_cell_angle_gamma 90.00
loop_
_atom_site_label
_atom_site_fract_x
_atom_site_fract_y
_atom_site_fract_z
Al1 0.0000 0.0000 0.0000
Rh1 0.5000 0.5000 0.5000
Se1 0.0000 0.5000 0.0000
N1 0.0000 0.0000 0.5000
```

---

2.
Entry from the Alexandria database: an optimized crystal structure of NaAlGe2O6 (GGA-PBE).

Its density of states at the Fermi level is 0.0 states/eV per cell. The raw total energy is -0.474 Ry per atom.

Geometry as CIF:
```
data_NaAlGe2O6
_chemical_formula_sum 'Na4 Al4 Ge8 O24'
_space_group_name_H-M_alt 'C 1 2/c 1'
_space_group_IT_number 15
_space_group_name_Hall '-C 2yc'
_cell_length_a 10.1496
_cell_length_b 10.4274
_cell_length_c 5.6050
_cell_angle_alpha 90.00
_cell_angle_beta 112.66
_cell_angle_gamma 90.00
loop_
_atom_site_label
_atom_site_fract_x
_atom_site_fract_y
_atom_site_fract_z
Na1 0.0000 0.1093 0.2500
Al1 0.0000 0.2063 0.7500
Ge1 0.1921 0.4169 0.1834
O1 0.0971 0.2784 0.0488
O2 0.1204 0.0998 0.6886
O3 0.1481 0.4555 0.4543
```

---

3.
Entry from the Alexandria database: an optimized crystal structure of PmNdBi2 (GGA-PBE).

Its density of states at the Fermi level is 1.4 states/eV per cell. The value obtained for the energy above the lowest structure with this stoichiometry is 0 meV per atom. The raw total energy is -0.387 Ry per atom. Its energy of formation is -0.945 eV/atom.

Geometry as CIF:
```
data_PmNdBi2
_chemical_formula_sum 'Pm2 Nd2 Bi4'
_space_group_name_H-M_alt 'C 1 2/m 1'
_space_group_IT_number 12
_space_group_name_Hall '-C 2y'
_cell_length_a 7.9560
_cell_length_b 4.5993
_cell_length_c 7.9545
_cell_angle_alpha 90.00
_cell_angle_beta 109.56
_cell_angle_gamma 90.00
loop_
_atom_site_label
_atom_site_fract_x
_atom_site_fract_y
_atom_site_fract_z
Pm1 0.0000 0.0000 0.0000
Nd1 0.0000 0.5000 0.5000
Bi1 0.2494 0.5000 0.2481
```

---

4.
Entry from the Alexandria database: an optimized crystal structure of MgGeP2 (GGA-PBE).

Its density of states at the Fermi level is 3.8 states/eV per cell. The value obtained for the energy above the lowest structure with this stoichiometry is 221 meV per atom. The raw total energy is -0.319 Ry per atom. Its energy of formation is -0.089 eV/atom.

Geometry as CIF:
```
data_MgGeP2
_chemical_formula_sum 'Mg3 Ge3 P6'
_space_group_name_H-M_alt 'R -3 m'
_space_group_IT_number 166
_space_group_name_Hall '-R 3 2"'
_cell_length_a 3.6005
_cell_length_b 3.6005
_cell_length_c 19.2628
_cell_angle_alpha 90.00
_cell_angle_beta 90.00
_cell_angle_gamma 120.00
loop_
_atom_site_label
_atom_site_fract_x
_atom_site_fract_y
_atom_site_fract_z
Mg1 0.0000 0.0000 0.0000
Ge1 0.0000 0.0000 0.5000
P1 0.0000 0.0000 0.2421
```

---

5.
Entry from the Alexandria database: an optimized crystal structure of CaCu2Ni (GGA-PBE).

Its density of states at the Fermi level is 3.3 states/eV per cell. The value obtained for the energy above the lowest structure with this stoichiometry is 307 meV per atom. The raw total energy is -0.281 Ry per atom. Its energy of formation is 0.168 eV/atom.

Geometry as CIF:
```
data_CaCu2Ni
_chemical_formula_sum 'Ca2 Cu4 Ni2'
_space_group_name_H-M_alt 'C m m m'
_space_group_IT_number 65
_space_group_name_Hall '-C 2 2'
_cell_length_a 5.0835
_cell_length_b 6.7254
_cell_length_c 4.1546
_cell_angle_alpha 90.00
_cell_angle_beta 90.00
_cell_angle_gamma 90.00
loop_
_atom_site_label
_atom_site_fract_x
_atom_site_fract_y
_atom_site_fract_z
Ca1 0.0000 0.0000 0.0000
Cu1 0.0000 0.3209 0.5000
Ni1 0.0000 0.5000 0.0000
```

---

6.
Entry from the Alexandria database: an optimized crystal structure of AlTl2Cu (GGA-PBE).

Its density of states at the Fermi level is 1.8 states/eV per cell. The value obtained for the energy above the lowest structure with this stoichiometry is 0 meV per atom. The raw total energy is -0.222 Ry per atom. Its energy of formation is 0.125 eV/atom.

Geometry as CIF:
```
data_AlTl2Cu
_chemical_formula_sum 'Al1 Tl2 Cu1'
_space_group_name_H-M_alt 'P 4 m m'
_space_group_IT_number 99
_space_group_name_Hall 'P 4 -2'
_cell_length_a 3.1783
_cell_length_b 3.1783
_cell_length_c 9.1676
_cell_angle_alpha 90.00
_cell_angle_beta 90.00
_cell_angle_gamma 90.00
loop_
_atom_site_label
_atom_site_fract_x
_atom_site_fract_y
_atom_site_fract_z
Al1 0.0000 0.0000 0.0000
Tl1 0.0000 0.0000 0.3690
Tl2 0.5000 0.5000 0.7270
Cu1 0.5000 0.5000 0.1273
```

---

7.
Entry from the Alexandria database: an optimized crystal structure of ReHg2W (GGA-PBE).

Its density of states at the Fermi level is 4.4 states/eV per cell. The value obtained for the energy above the lowest structure with this stoichiometry is 300 meV per atom. The raw total energy is -0.419 Ry per atom. Its energy of formation is 0.801 eV/atom.

Geometry as CIF:
```
data_ReHg2W
_chemical_formula_sum 'Re2 Hg4 W2'
_space_group_name_H-M_alt 'I m m 2'
_space_group_IT_number 44
_space_group_name_Hall 'I 2 -2'
_cell_length_a 3.1294
_cell_length_b 4.8784
_cell_length_c 10.0953
_cell_angle_alpha 90.00
_cell_angle_beta 90.00
_cell_angle_gamma 90.00
loop_
_atom_site_label
_atom_site_fract_x
_atom_site_fract_y
_atom_site_fract_z
Re1 0.0000 0.0000 0.0000
Hg1 0.0000 0.0000 0.5478
Hg2 0.0000 0.5000 0.7644
W1 0.0000 0.5000 0.3158
```

---

8.
Entry from the Alexandria database: an optimized crystal structure of InTcAs2 (GGA-PBE).

Its density of states at the Fermi level is 1.6 states/eV per cell. The raw total energy is -0.418 Ry per atom. Its energy of formation is -0.084 eV/atom.

Geometry as CIF:
```
data_InTcAs2
_chemical_formula_sum 'In1 Tc1 As2'
_space_group_name_H-M_alt 'P 4/m m m'
_space_group_IT_number 123
_space_group_name_Hall '-P 4 2'
_cell_length_a 3.1006
_cell_length_b 3.1006
_cell_length_c 8.0198
_cell_angle_alpha 90.00
_cell_angle_beta 90.00
_cell_angle_gamma 90.00
loop_
_atom_site_label
_atom_site_fract_x
_atom_site_fract_y
_atom_site_fract_z
In1 0.0000 0.0000 0.0000
Tc1 0.0000 0.0000 0.5000
As1 0.5000 0.5000 0.3144
```

---

9.
Entry from the Alexandria database: an optimized crystal structure of SiPtPb2 (GGA-PBE).

Its density of states at the Fermi level is 4.0 states/eV per cell. The raw total energy is -0.326 Ry per atom.

Geometry as CIF:
```
data_SiPtPb2
_chemical_formula_sum 'Si2 Pt2 Pb4'
_space_group_name_H-M_alt 'I 4/m m m'
_space_group_IT_number 139
_space_group_name_Hall '-I 4 2'
_cell_length_a 4.7518
_cell_length_b 4.7518
_cell_length_c 7.9315
_cell_angle_alpha 90.00
_cell_angle_beta 90.00
_cell_angle_gamma 90.00
loop_
_atom_site_label
_atom_site_fract_x
_atom_site_fract_y
_atom_site_fract_z
Si1 0.0000 0.0000 0.0000
Pt1 0.0000 0.0000 0.5000
Pb1 0.0000 0.5000 0.2500
```

---

10.
Entry from the Alexandria database: an optimized crystal structure of BeZnOs2 (GGA-PBE).

Its density of states at the Fermi level is 5.8 states/eV per cell. The raw total energy is -0.487 Ry per atom. Its energy of formation is 0.235 eV/atom.

Geometry as CIF:
```
data_BeZnOs2
_chemical_formula_sum 'Be2 Zn2 Os4'
_space_group_name_H-M_alt 'I -4 m 2'
_space_group_IT_number 119
_space_group_name_Hall 'I -4 -2'
_cell_length_a 3.9295
_cell_length_b 3.9295
_cell_length_c 6.7887
_cell_angle_alpha 90.00
_cell_angle_beta 90.00
_cell_angle_gamma 90.00
loop_
_atom_site_label
_atom_site_fract_x
_atom_site_fract_y
_atom_site_fract_z
Be1 0.0000 0.0000 0.0000
Zn1 0.0000 0.5000 0.2500
Os1 0.0000 0.0000 0.5000
Os2 0.0000 0.5000 0.7500
```

---

11.
Entry from the Alexandria database: an optimized crystal structure of ErAgAu (GGA-PBE).

Its density of states at the Fermi level is 7.0 states/eV per cell. The value obtained for the energy above the lowest structure with this stoichiometry is 181 meV per atom. The raw total energy is -0.295 Ry per atom. Its energy of formation is -0.448 eV/atom.

Geometry as CIF:
```
data_ErAgAu
_chemical_formula_sum 'Er4 Ag4 Au4'
_space_group_name_H-M_alt 'F -4 3 m'
_space_group_IT_number 216
_space_group_name_Hall 'F -4 2 3'
_cell_length_a 6.6573
_cell_length_b 6.6573
_cell_length_c 6.6573
_cell_angle_alpha 90.00
_cell_angle_beta 90.00
_cell_angle_gamma 90.00
loop_
_atom_site_label
_atom_site_fract_x
_atom_site_fract_y
_atom_site_fract_z
Er1 0.0000 0.0000 0.0000
Ag1 0.0000 0.0000 0.5000
Au1 0.2500 0.2500 0.2500
```

---

12.
Entry from the Alexandria database: an optimized crystal structure of NaEuHgTe (GGA-PBE).

Its density of states at the Fermi level is 11.7 states/eV per cell. The raw total energy is -0.331 Ry per atom.

Geometry as CIF:
```
data_NaEuHgTe
_chemical_formula_sum 'Na4 Eu4 Hg4 Te4'
_space_group_name_H-M_alt 'F -4 3 m'
_space_group_IT_number 216
_space_group_name_Hall 'F -4 2 3'
_cell_length_a 7.8260
_cell_length_b 7.8260
_cell_length_c 7.8260
_cell_angle_alpha 90.00
_cell_angle_beta 90.00
_cell_angle_gamma 90.00
loop_
_atom_site_label
_atom_site_fract_x
_atom_site_fract_y
_atom_site_fract_z
Na1 0.0000 0.0000 0.0000
Eu1 0.0000 0.0000 0.5000
Hg1 0.2500 0.2500 0.7500
Te1 0.2500 0.2500 0.2500
```

---

13.
Entry from the Alexandria database: an optimized crystal structure of InSbW (GGA-PBE).

Its density of states at the Fermi level is 1.3 states/eV per cell. The value obtained for the energy above the lowest structure with this stoichiometry is 0 meV per atom. The raw total energy is -0.451 Ry per atom.

Geometry as CIF:
```
data_InSbW
_chemical_formula_sum 'In2 Sb2 W2'
_space_group_name_H-M_alt 'I 4 m m'
_space_group_IT_number 107
_space_group_name_Hall 'I 4 -2'
_cell_length_a 3.5781
_cell_length_b 3.5781
_cell_length_c 9.3685
_cell_angle_alpha 90.00
_cell_angle_beta 90.00
_cell_angle_gamma 90.00
loop_
_atom_site_label
_atom_site_fract_x
_atom_site_fract_y
_atom_site_fract_z
In1 0.0000 0.0000 0.0000
Sb1 0.0000 0.0000 0.3139
W1 0.0000 0.0000 0.6730
```